Entry 1:
KAcZnSn GGA-PBE relaxed; D(E_F) = 0.6 states/eV per cell; E_tot = -2.85 eV/atom; space group = F-43m; DFT formation energy = -0.2253 eV/atom
1.0
0.0000 4.0385 4.0385
4.0385 0.0000 4.0385
4.0385 4.0385 0.0000
K Ac Zn Sn
1 1 1 1
Direct
0.0000 0.0000 0.0000 K
0.5000 0.5000 0.5000 Ac
0.7500 0.7500 0.7500 Zn
0.2500 0.2500 0.2500 Sn



Entry 2:
K2SrAc GGA-PBE relaxed; D(E_F) = 4.1 states/eV per cell; E_tot = -1.73 eV/atom; space group = R-3m; DFT formation energy = 0.2633 eV/atom
1.0
2.0347 1.1747 15.6470
-2.0347 1.1747 15.6470
0.0000 -2.3494 15.6470
K Sr Ac
2 1 1
Direct
0.0844 0.0844 0.0844 K
0.9156 0.9156 0.9156 K
0.5000 0.5000 0.5000 Sr
0.0000 0.0000 0.0000 Ac



Entry 3:
KSrAc2 GGA-PBE relaxed; D(E_F) = 5.6 states/eV per cell; E_tot = -2.53 eV/atom; space group = R-3m; DFT formation energy = 0.2195 eV/atom
1.0
1.9934 1.1509 14.7515
-1.9934 1.1509 14.7515
0.0000 -2.3018 14.7515
K Sr Ac
1 1 2
Direct
0.0000 0.0000 0.0000 K
0.5000 0.5000 0.5000 Sr
0.0900 0.0900 0.0900 Ac
0.9100 0.9100 0.9100 Ac



Entry 4:
KSr2Ac3Te6 GGA-PBE relaxed; D(E_F) = 4.7 states/eV per cell; uncorrected formation energy = -1.554 eV per atom; E_tot = -4.52 eV/atom; space group = C2/m
1.0
10.4397 -2.3692 0.0000
10.4397 2.3692 0.0000
-2.3462 0.0000 9.3340
K Sr Ac Te
1 2 3 6
Direct
0.0000 0.0000 0.0000 K
0.3341 0.3341 0.6687 Sr
0.6659 0.6659 0.3313 Sr
0.0000 0.0000 0.5000 Ac
0.3351 0.3351 0.1675 Ac
0.6649 0.6649 0.8325 Ac
0.1676 0.1676 0.5817 Te
0.1700 0.1700 0.0853 Te
0.4994 0.4994 0.7417 Te
0.5006 0.5006 0.2583 Te
0.8300 0.8300 0.9147 Te
0.8324 0.8324 0.4183 Te



Entry 5:
KSr2AcTe4 GGA-PBE relaxed; uncorrected formation energy = -1.584 eV per atom; E_tot = -4.23 eV/atom; space group = P2/m
1.0
8.2674 0.0000 0.0000
0.0000 4.8109 0.0000
-2.6653 0.0000 7.8922
K Sr Ac Te
1 2 1 4
Direct
0.0000 0.0000 0.0000 K
0.5000 0.0000 0.5000 Sr
0.5000 0.5000 0.0000 Sr
0.0000 0.5000 0.5000 Ac
0.2502 0.0000 0.7428 Te
0.2589 0.5000 0.2645 Te
0.7411 0.5000 0.7355 Te
0.7498 0.0000 0.2572 Te



Entry 6:
KSr3Ac2Te6 GGA-PBE relaxed; D(E_F) = 3.3 states/eV per cell; uncorrected formation energy = -1.591 eV per atom; E_tot = -4.36 eV/atom; space group = C2/m
1.0
10.3881 -2.3789 0.0000
10.3881 2.3789 0.0000
-2.1819 0.0000 9.3719
K Sr Ac Te
1 3 2 6
Direct
0.0000 0.0000 0.0000 K
0.0000 0.0000 0.5000 Sr
0.3376 0.3376 0.1647 Sr
0.6624 0.6624 0.8353 Sr
0.3356 0.3356 0.6689 Ac
0.6644 0.6644 0.3311 Ac
0.1681 0.1681 0.5848 Te
0.1725 0.1725 0.0889 Te
0.4980 0.4980 0.7374 Te
0.5020 0.5020 0.2626 Te
0.8275 0.8275 0.9111 Te
0.8319 0.8319 0.4152 Te



Entry 7:
KSrAcTl GGA-PBE relaxed; D(E_F) = 3.2 states/eV per cell; E_tot = -2.27 eV/atom; space group = F-43m; DFT formation energy = 0.0461 eV/atom
1.0
0.0000 4.3020 4.3020
4.3020 0.0000 4.3020
4.3020 4.3020 0.0000
K Sr Ac Tl
1 1 1 1
Direct
0.0000 0.0000 0.0000 K
0.2500 0.2500 0.2500 Sr
0.7500 0.7500 0.7500 Ac
0.5000 0.5000 0.5000 Tl



Entry 8:
KAc2Tb3Te6 GGA-PBE relaxed; D(E_F) = 4.6 states/eV per cell; uncorrected formation energy = -1.393 eV per atom; E_tot = -4.90 eV/atom; space group = C2/m
1.0
10.0733 -2.2392 0.0000
10.0733 2.2392 0.0000
-2.5151 0.0000 9.0003
K Ac Tb Te
1 2 3 6
Direct
0.0000 0.0000 0.0000 K
0.3305 0.3305 0.6594 Ac
0.6695 0.6695 0.3406 Ac
0.0000 0.0000 0.5000 Tb
0.3353 0.3353 0.1747 Tb
0.6647 0.6647 0.8253 Tb
0.1596 0.1596 0.5966 Te
0.1734 0.1734 0.0693 Te
0.4965 0.4965 0.2667 Te
0.5035 0.5035 0.7333 Te
0.8266 0.8266 0.9307 Te
0.8404 0.8404 0.4034 Te



Entry 9:
KAc3Tc GGA-PBE relaxed; D(E_F) = 5.1 states/eV per cell; E_tot = -4.58 eV/atom; space group = Pm-3m; DFT formation energy = 0.1758 eV/atom
1.0
5.9021 0.0000 0.0000
0.0000 5.9021 0.0000
0.0000 0.0000 5.9021
K Ac Tc
1 3 1
Direct
0.0000 0.0000 0.0000 K
0.0000 0.5000 0.5000 Ac
0.5000 0.0000 0.5000 Ac
0.5000 0.5000 0.0000 Ac
0.5000 0.5000 0.5000 Tc



Entry 10:
KAc2Te3 GGA-PBE relaxed; D(E_F) = 4.2 states/eV per cell; uncorrected formation energy = -1.484 eV per atom; E_tot = -4.61 eV/atom; ΔE to the lowest computed polymorph = 0 meV/atom; space group = P6_3/mmc
1.0
4.7687 0.0000 0.0000
-2.3843 4.1298 0.0000
0.0000 0.0000 24.6406
K Ac Te
2 4 6
Direct
0.0000 0.0000 0.2500 K
0.0000 0.0000 0.7500 K
0.3333 0.6667 0.0798 Ac
0.3333 0.6667 0.4202 Ac
0.6667 0.3333 0.5798 Ac
0.6667 0.3333 0.9202 Ac
0.0000 0.0000 0.0000 Te
0.0000 0.0000 0.5000 Te
0.3333 0.6667 0.6555 Te
0.3333 0.6667 0.8445 Te
0.6667 0.3333 0.1555 Te
0.6667 0.3333 0.3445 Te



Entry 11:
KAcTe4 GGA-PBE relaxed; D(E_F) = 3.1 states/eV per cell; uncorrected formation energy = -0.343 eV per atom; E_tot = -3.30 eV/atom; ΔE to the lowest computed polymorph = 658 meV/atom; space group = F-43m
1.0
0.0000 4.7022 4.7022
4.7022 0.0000 4.7022
4.7022 4.7022 0.0000
K Ac Te
1 1 4
Direct
0.0000 0.0000 0.0000 K
0.7500 0.7500 0.7500 Ac
0.3754 0.3754 0.3754 Te
0.3754 0.3754 0.8739 Te
0.3754 0.8739 0.3754 Te
0.8739 0.3754 0.3754 Te



Entry 12:
KAc5Te6 GGA-PBE relaxed; D(E_F) = 6.0 states/eV per cell; uncorrected formation energy = -1.481 eV per atom; E_tot = -4.86 eV/atom; space group = C2/m
1.0
4.1181 -7.1250 0.0000
4.1181 7.1250 0.0000
-2.7398 0.0000 7.7994
K Ac Te
1 5 6
Direct
0.0000 0.0000 0.0000 K
0.1629 0.8371 0.5000 Ac
0.3336 0.6664 0.0000 Ac
0.5000 0.5000 0.5000 Ac
0.6664 0.3336 0.0000 Ac
0.8371 0.1629 0.5000 Ac
0.0843 0.4214 0.2536 Te
0.2532 0.2532 0.7528 Te
0.4214 0.0843 0.2536 Te
0.5786 0.9157 0.7464 Te
0.7468 0.7468 0.2472 Te
0.9157 0.5786 0.7464 Te